# Ca2TlAs

A geometry-optimized Ca2TlAs structure (PBE, Alexandria). Values from VASP.

Quantum ESPRESSO input file:
```
&SYSTEM
  ibrav = 0, nat = 4, ntyp = 3
/
ATOMIC_SPECIES
Tl 204.38 Tl.upf
Ca 40.08 Ca.upf
As 74.92 As.upf
ATOMIC_POSITIONS crystal
Tl 0.250 0.250 0.250
Ca 0.023 0.023 0.937
As 0.750 0.750 0.750
Ca 0.477 0.477 0.563
CELL_PARAMETERS angstrom
4.358 -0.050 0.045
2.283 3.712 0.045
1.979 1.091 7.856
```

Properties
ΔE to the lowest computed polymorph: 56 meV per atom
Volume: 31.89 A^3/atom
D(E_F): 2.76 states/eV/f.u.
Energy relative to the elements: -659 meV/atom
Space group: C2/m

---

# AcIn4Hg

A geometry-optimized AcIn4Hg structure (PBE, Alexandria). Values from VASP.

Quantum ESPRESSO input file:
```
&SYSTEM
  ibrav = 0, nat = 6, ntyp = 3
/
ATOMIC_SPECIES
Ac 227.00 Ac.upf
In 114.82 In.upf
Hg 200.59 Hg.upf
ATOMIC_POSITIONS crystal
Ac 0.250 0.250 0.250
In 0.625 0.124 0.625
In 0.625 0.625 0.625
In 0.124 0.625 0.625
Hg 0.000 0.000 0.000
In 0.625 0.625 0.124
CELL_PARAMETERS angstrom
-1.466 5.389 2.857
-5.173 3.130 -1.671
-4.911 0.250 3.895
```

Properties
ΔE to the lowest computed polymorph: 76 meV per atom
Volume: 29.09 A^3/atom
D(E_F): 4.87 states/eV/f.u.
Energy relative to the elements: -184 meV/atom
Space group: F-43m

---

# TiZnCo2Mo

A geometry-optimized TiZnCo2Mo structure (PBE, Alexandria). Values from VASP.

Quantum ESPRESSO input file:
```
&SYSTEM
  ibrav = 0, nat = 5, ntyp = 4
/
ATOMIC_SPECIES
Zn 65.41 Zn.upf
Co 58.93 Co.upf
Mo 95.94 Mo.upf
Ti 47.87 Ti.upf
ATOMIC_POSITIONS crystal
Zn 0.000 0.000 0.000
Co 0.000 0.500 0.000
Co 0.500 0.000 0.000
Mo 0.000 0.000 0.500
Ti 0.500 0.500 0.500
CELL_PARAMETERS angstrom
-2.915 0.848 -2.965
2.826 -0.898 -3.035
-1.350 -4.440 0.057
```

Properties
Volume: 16.72 A^3/atom
D(E_F): 8.68 states/eV/f.u.
Energy relative to the elements: 1136 meV/atom
Space group: P4/mmm

---

# Th2MgGa4Ni3

A geometry-optimized Th2MgGa4Ni3 structure (PBE, Alexandria). Values from VASP.

Quantum ESPRESSO input file:
```
&SYSTEM
  ibrav = 0, nat = 10, ntyp = 4
/
ATOMIC_SPECIES
Th 232.04 Th.upf
Ga 69.72 Ga.upf
Ni 58.69 Ni.upf
Mg 24.30 Mg.upf
ATOMIC_POSITIONS crystal
Th 0.000 0.500 0.771
Ga 0.500 0.000 0.649
Ga 0.000 0.500 0.351
Ni 0.000 0.500 0.130
Ni 0.000 0.000 0.500
Ni 0.500 0.000 0.870
Mg 0.500 0.500 0.500
Ga 0.500 0.500 0.000
Ga 0.000 0.000 0.000
Th 0.500 0.000 0.229
CELL_PARAMETERS angstrom
-3.855 -0.377 -1.361
1.411 -1.121 -3.688
-0.088 -10.386 3.124
```

Properties
Volume: 18.28 A^3/atom
D(E_F): 9.07 states/eV/f.u.
Energy relative to the elements: -513 meV/atom
Space group: P-4m2

---

# ScSi2Au

A geometry-optimized ScSi2Au structure (PBE, Alexandria). Values from VASP.

Quantum ESPRESSO input file:
```
&SYSTEM
  ibrav = 0, nat = 4, ntyp = 3
/
ATOMIC_SPECIES
Sc 44.96 Sc.upf
Si 28.09 Si.upf
Au 196.97 Au.upf
ATOMIC_POSITIONS crystal
Sc 0.750 0.750 0.750
Si 0.997 0.997 0.997
Au 0.250 0.250 0.250
Si 0.503 0.503 0.503
CELL_PARAMETERS angstrom
8.794 0.015 0.009
8.256 3.030 0.009
8.256 1.474 2.647
```

Properties
E_form (uncorrected): 0.09 eV per atom
Volume: 17.49 A^3/atom
D(E_F): 4.08 states/eV/f.u.
Space group: R-3m

---

# Nd4Er2Tm3

A geometry-optimized Nd4Er2Tm3 structure (PBE, Alexandria). Values from VASP.

Quantum ESPRESSO input file:
```
&SYSTEM
  ibrav = 0, nat = 18, ntyp = 3
/
ATOMIC_SPECIES
Nd 144.24 Nd.upf
Tm 168.93 Tm.upf
Er 167.26 Er.upf
ATOMIC_POSITIONS crystal
Nd 0.000 0.180 0.850
Tm 0.250 0.500 0.500
Nd 0.000 0.820 0.150
Tm 0.750 0.830 0.829
Er 0.000 0.529 0.820
Tm 0.250 0.170 0.171
Er 0.500 0.820 0.529
Tm 0.250 0.829 0.830
Nd 0.500 0.472 0.849
Tm 0.750 0.500 0.500
Tm 0.750 0.171 0.170
Nd 0.000 0.849 0.472
Nd 0.500 0.528 0.151
Er 0.500 0.180 0.471
Nd 0.500 0.150 0.820
Nd 0.500 0.850 0.180
Nd 0.000 0.151 0.528
Er 0.000 0.471 0.180
CELL_PARAMETERS angstrom
-1.806 -6.698 -1.238
6.502 -0.404 -7.293
9.202 -2.804 1.759
```

Properties
ΔE to the lowest computed polymorph: 0 meV per atom
Volume: 32.35 A^3/atom
D(E_F): 11.84 states/eV/f.u.
Energy relative to the elements: 48 meV/atom
Space group: Cccm

---

# CsNdScSe3

A geometry-optimized CsNdScSe3 structure (PBE, Alexandria). Values from VASP.

Quantum ESPRESSO input file:
```
&SYSTEM
  ibrav = 0, nat = 12, ntyp = 4
/
ATOMIC_SPECIES
Se 78.96 Se.upf
Cs 132.91 Cs.upf
Sc 44.96 Sc.upf
Nd 144.24 Nd.upf
ATOMIC_POSITIONS crystal
Se 0.750 0.877 0.140
Cs 0.250 0.214 0.231
Sc 0.250 0.089 0.608
Nd 0.250 0.663 0.134
Se 0.250 0.527 0.842
Se 0.250 0.807 0.449
Se 0.750 0.193 0.551
Cs 0.750 0.786 0.769
Se 0.750 0.473 0.158
Se 0.250 0.123 0.860
Nd 0.750 0.337 0.866
Sc 0.750 0.911 0.392
CELL_PARAMETERS angstrom
4.509 0.000 0.000
0.000 9.730 -0.522
0.000 -3.110 10.122
```

Properties
E_form (uncorrected): -1.59 eV per atom
Volume: 36.39 A^3/atom
D(E_F): 3.19 states/eV/f.u.
Space group: P2_1/m

---

# Tm8P3Se4N

A geometry-optimized Tm8P3Se4N structure (PBE, Alexandria). Values from VASP.

Quantum ESPRESSO input file:
```
&SYSTEM
  ibrav = 0, nat = 16, ntyp = 4
/
ATOMIC_SPECIES
Tm 168.93 Tm.upf
Se 78.96 Se.upf
P 30.97 P.upf
N 14.01 N.upf
ATOMIC_POSITIONS crystal
Tm 0.759 0.714 0.986
Tm 0.258 0.273 0.515
Tm 0.228 0.714 0.986
Tm 0.742 0.727 0.485
Se 0.500 0.000 0.000
Tm 0.228 0.715 0.456
Tm 0.772 0.285 0.544
P 0.500 0.500 0.000
Se 0.500 0.000 0.500
Tm 0.241 0.286 0.014
N 0.000 0.500 0.000
P 0.500 0.500 0.500
P 0.000 0.500 0.500
Se 0.000 0.000 0.500
Tm 0.772 0.286 0.014
Se 0.000 0.000 0.000
CELL_PARAMETERS angstrom
7.770 0.000 0.000
0.000 7.935 0.111
-3.885 -3.881 5.497
```

Properties
E_form (uncorrected): -1.69 eV per atom
Volume: 21.39 A^3/atom
D(E_F): 4.84 states/eV/f.u.
Space group: R-3m

---

# Ce6BiPt

A geometry-optimized Ce6BiPt structure (PBE, Alexandria). Values from VASP.

Quantum ESPRESSO input file:
```
&SYSTEM
  ibrav = 0, nat = 8, ntyp = 3
/
ATOMIC_SPECIES
Bi 208.98 Bi.upf
Ce 140.12 Ce.upf
Pt 195.08 Pt.upf
ATOMIC_POSITIONS crystal
Bi 0.000 0.000 0.000
Ce 0.184 0.825 0.581
Ce 0.597 0.821 0.000
Ce 0.816 0.594 0.581
Ce 0.403 0.179 0.000
Ce 0.184 0.406 0.419
Ce 0.816 0.175 0.419
Pt 0.500 0.500 0.000
CELL_PARAMETERS angstrom
6.348 0.765 0.000
1.796 7.753 0.000
0.898 3.877 4.941
```

Properties
Volume: 29.55 A^3/atom
D(E_F): 24.40 states/eV/f.u.
Energy relative to the elements: -307 meV/atom
Space group: C2/m

---

# La4CoAg

A geometry-optimized La4CoAg structure (PBE, Alexandria). Values from VASP.

Quantum ESPRESSO input file:
```
&SYSTEM
  ibrav = 0, nat = 12, ntyp = 3
/
ATOMIC_SPECIES
La 138.91 La.upf
Ag 107.87 Ag.upf
Co 58.93 Co.upf
ATOMIC_POSITIONS crystal
La 0.220 0.307 0.376
Ag 0.371 0.621 0.242
Co 0.765 0.015 0.030
La 0.027 0.199 0.873
La 0.343 0.930 0.624
Ag 0.629 0.379 0.758
Co 0.235 0.985 0.970
La 0.657 0.070 0.376
La 0.654 0.326 0.127
La 0.780 0.693 0.624
La 0.346 0.674 0.873
La 0.973 0.801 0.127
CELL_PARAMETERS angstrom
6.367 -0.402 0.000
-1.527 7.937 0.000
-2.420 -3.767 7.133
```

Properties
ΔE to the lowest computed polymorph: 17 meV per atom
Volume: 29.68 A^3/atom
D(E_F): 6.97 states/eV/f.u.
Energy relative to the elements: -123 meV/atom
Space group: C2/c

---

# Li3Sb

A geometry-optimized Li3Sb structure (PBE, Alexandria). Values from VASP.

Quantum ESPRESSO input file:
```
&SYSTEM
  ibrav = 0, nat = 4, ntyp = 2
/
ATOMIC_SPECIES
Li 6.94 Li.upf
Sb 121.76 Sb.upf
ATOMIC_POSITIONS crystal
Li 0.500 0.750 0.750
Li 0.000 0.010 0.021
Li 0.000 0.490 0.479
Sb 0.500 0.250 0.250
CELL_PARAMETERS angstrom
-2.872 -0.467 3.517
-2.477 -0.384 -2.073
-0.127 -5.476 -0.831
```

Properties
E_form (uncorrected): -0.37 eV per atom
ΔE to the lowest computed polymorph: 260 meV per atom
Volume: 20.01 A^3/atom
D(E_F): 0.71 states/eV/f.u.
Space group: P2/m